# BaZn2P2, optimized geometry, DFT GGA-PBEsol
data_BaZn2P2
_chemical_formula_sum 'Ba2 Zn4 P4'
_cell_length_a 3.975
_cell_length_b 3.975
_cell_length_c 13.022
_cell_angle_alpha 90.00
_cell_angle_beta 90.00
_cell_angle_gamma 90.00
_space_group_name_H-M_alt 'I 4/m m m'
_space_group_IT_number 139
_space_group_name_Hall '-I 4 2'
loop_
_atom_site_label
_atom_site_fract_x
_atom_site_fract_y
_atom_site_fract_z
_atom_site_occupancy
Ba1 0.000 0.000 0.000 1
Zn1 0.000 0.500 0.250 1
P1 0.000 0.000 0.361 1
# **V**: 205.7 Å³/cell
# **Density**: 5.33 g/cm3
# **VASP energy**: -4.038 eV/atom

# CrTc2Pt, optimized geometry, DFT GGA-PBEsol
data_CrTc2Pt
_chemical_formula_sum 'Cr2 Tc4 Pt2'
_cell_length_a 5.328
_cell_length_b 7.681
_cell_length_c 2.655
_cell_angle_alpha 90.00
_cell_angle_beta 90.00
_cell_angle_gamma 90.00
_space_group_name_H-M_alt 'C m m m'
_space_group_IT_number 65
_space_group_name_Hall '-C 2 2'
loop_
_atom_site_label
_atom_site_fract_x
_atom_site_fract_y
_atom_site_fract_z
_atom_site_occupancy
Cr1 0.000 0.000 0.000 1
Tc1 0.250 0.250 0.500 1
Pt1 0.000 0.500 0.000 1
# **Energy above the lowest structure with this stoichiometry**: 0.8 kJ per mole of atoms
# **V**: 108.7 Å³/cell
# **Density**: 13.54 g/cm3

# Zn2Cu3, optimized geometry, DFT GGA-PBEsol
data_Zn2Cu3
_chemical_formula_sum 'Zn16 Cu24'
_cell_length_a 8.611
_cell_length_b 12.218
_cell_length_c 4.616
_cell_angle_alpha 90.00
_cell_angle_beta 90.00
_cell_angle_gamma 90.00
_space_group_name_H-M_alt 'F d d 2'
_space_group_IT_number 43
_space_group_name_Hall 'F 2 -2d'
loop_
_atom_site_label
_atom_site_fract_x
_atom_site_fract_y
_atom_site_fract_z
_atom_site_occupancy
Zn1 0.030 0.300 0.000 1
Cu1 0.000 0.000 0.433 1
Cu2 0.043 0.401 0.467 1
# **Energy above the lowest structure with this stoichiometry**: 0.0 kJ per mole of atoms
# **V**: 485.6 Å³/cell
# **Density**: 8.79 g/cm3

# NaMn6Al3H42S2O38, optimized geometry, DFT GGA-PBEsol
data_NaMn6Al3H42S2O38
_chemical_formula_sum 'Na3 Mn18 Al9 H126 S6 O114'
_cell_length_a 9.4165
_cell_length_b 9.4165
_cell_length_c 32.4194
_cell_angle_alpha 90.00
_cell_angle_beta 90.00
_cell_angle_gamma 120.00
_space_group_name_H-M_alt 'R -3'
_space_group_IT_number 148
_space_group_name_Hall '-R 3'
loop_
_atom_site_label
_atom_site_fract_x
_atom_site_fract_y
_atom_site_fract_z
_atom_site_occupancy
Na1 0.0000 0.0000 0.0000 1
Mn1 0.9998 0.3310 0.8334 1
Al1 0.0000 0.0000 0.1637 1
Al2 0.0000 0.0000 0.5000 1
H1 0.0082 0.4127 0.6190 1
H2 0.0099 0.4075 0.0534 1
H3 0.0192 0.8584 0.6305 1
H4 0.0700 0.5666 0.7198 1
H5 0.0734 0.8708 0.5609 1
H6 0.0777 0.1965 0.8969 1
H7 0.0830 0.1867 0.2267 1
S1 0.0000 0.0000 0.2966 1
O1 0.0000 0.0000 0.3429 1
O2 0.0210 0.2054 0.9486 1
O3 0.0354 0.7860 0.6109 1
O4 0.0599 0.1702 0.2820 1
O5 0.0954 0.1963 0.1965 1
O6 0.0964 0.8976 0.5312 1
O7 0.0988 0.1994 0.8666 1
# **V**: 2489.5 Å³/cell
# **Density**: 2.30 g/cm3
# **VASP energy**: -5.868 eV/atom

# Ti2SnH2, optimized geometry, DFT GGA-PBEsol
data_Ti2SnH2
_chemical_formula_sum 'Ti4 Sn2 H4'
_cell_length_a 3.538
_cell_length_b 3.538
_cell_length_c 9.020
_cell_angle_alpha 90.00
_cell_angle_beta 90.00
_cell_angle_gamma 90.00
_space_group_name_H-M_alt 'I 4/m m m'
_space_group_IT_number 139
_space_group_name_Hall '-I 4 2'
loop_
_atom_site_label
_atom_site_fract_x
_atom_site_fract_y
_atom_site_fract_z
_atom_site_occupancy
Ti1 0.000 0.000 0.170 1
Sn1 0.000 0.000 0.500 1
H1 0.000 0.500 0.250 1
# **V**: 112.9 Å³/cell
# **Density**: 6.37 g/cm3
# **VASP energy**: -5.989 eV/atom

# Sr2TlAs2, optimized geometry, DFT GGA-PBEsol
data_Sr2TlAs2
_chemical_formula_sum 'Sr4 Tl2 As4'
_cell_length_a 7.937
_cell_length_b 7.937
_cell_length_c 4.354
_cell_angle_alpha 90.00
_cell_angle_beta 90.00
_cell_angle_gamma 90.00
_space_group_name_H-M_alt 'P 4/m b m'
_space_group_IT_number 127
_space_group_name_Hall '-P 4 2ab'
loop_
_atom_site_label
_atom_site_fract_x
_atom_site_fract_y
_atom_site_fract_z
_atom_site_occupancy
Sr1 0.179 0.321 0.000 1
Tl1 0.000 0.000 0.500 1
As1 0.112 0.612 0.500 1
# **V**: 274.3 Å³/cell
# **Density**: 6.41 g/cm3
# **VASP energy**: -4.145 eV/atom